The following is a PBE-GGA calculation of Mg7ZnCd2 after structural relaxation, from Alexandria via LeMat-Bulk.

Geometry as POSCAR:
```
Mg7ZnCd2
1.0
-1.813 7.005 3.965
-7.826 0.630 3.893
1.122 0.705 7.853
Mg Cd Zn
14 4 2
direct
0.077 0.575 0.593
0.151 0.306 0.967
0.659 0.564 0.843
0.923 0.425 0.407
0.245 0.925 0.907
0.424 0.194 0.533
0.755 0.075 0.093
0.576 0.806 0.467
0.341 0.436 0.157
0.636 0.250 0.750
0.934 0.064 0.343
0.364 0.750 0.250
0.066 0.936 0.657
0.849 0.694 0.033
0.677 0.408 0.243
0.672 0.908 0.743
0.323 0.592 0.757
0.328 0.092 0.257
0.999 0.250 0.750
0.001 0.750 0.250
```

## Properties
The value obtained for the formation energy is -0.53 eV/f.u. The raw total energy is -1.48 eV/atom. The space group is C2/c, No. 15.

***

The following is a PBE-GGA calculation of MgZn3Cd after structural relaxation, from Alexandria via LeMat-Bulk.

Geometry as POSCAR:
```
MgZn3Cd
1.0
5.088 0.000 0.000
0.000 5.088 0.000
0.000 0.000 5.088
Zn Mg Cd
3 1 1
direct
0.000 0.000 0.500
0.000 0.500 0.000
0.500 0.000 0.000
0.500 0.500 0.500
0.000 0.000 0.000
```

## Properties
The value obtained for the formation energy is 2.44 eV/f.u. The raw total energy is -0.78 eV/atom. The space group is Pm-3m, No. 221. The polymorph energy (0 for the lowest one) comes out at 0 meV/atom.

***

The following is a PBE-GGA calculation of Mg2ZnCd after structural relaxation, from Alexandria via LeMat-Bulk.

Geometry as POSCAR:
```
Mg2ZnCd
1.0
-0.975 -2.203 3.545
-1.744 -3.093 -2.401
7.401 -7.241 0.126
Mg Cd Zn
4 2 2
direct
0.375 0.383 0.750
0.133 0.625 0.250
0.875 0.867 0.750
0.617 0.125 0.250
0.000 0.000 0.000
0.750 0.250 0.500
0.250 0.750 0.500
0.500 0.500 0.000
```

## Properties
The value obtained for the formation energy is 0.53 eV/f.u. The raw total energy is -1.21 eV/atom. The space group is I-42d, No. 122. The polymorph energy (0 for the lowest one) comes out at 221 meV/atom.

***

The following is a PBE-GGA calculation of Mg2ZnCd after structural relaxation, from Alexandria via LeMat-Bulk.

Geometry as POSCAR:
```
Mg2ZnCd
1.0
-0.498 1.278 3.006
-0.503 -3.698 1.489
6.018 -0.356 1.148
Mg Cd Zn
2 1 1
direct
0.500 0.500 0.271
0.000 0.000 0.993
0.500 0.500 0.747
0.000 0.000 0.490
```

## Properties
The value obtained for the formation energy is -0.09 eV/f.u. The raw total energy is -1.37 eV/atom. The space group is Pmm2, No. 25. The polymorph energy (0 for the lowest one) comes out at 66 meV/atom.